# NbTcPt2Rh2

A relaxed structure of NbTcPt2Rh2 (PBE-GGA, Alexandria via LeMat-Bulk).

a b c (Å): 5.0201 5.2167 7.2961
angles (deg): 90.00 96.72 90.00
Closest atoms and distances in Å follow each position.
Space group P2_1/m (No. 11)
Unique sites:
Nb 0.1004 0.2500 0.2821 [2 per cell]  2 Rh 2.62-2.91, 3 Tc 2.69-2.74, 2 Pt 2.78
Tc 0.1153 0.7500 0.3980 [2 per cell]  1 Rh 2.51, 4 Pt 2.68-2.81, 3 Nb 2.69-2.74
Pt 0.4085 0.0031 0.6702 [4 per cell]  3 Pt 2.58-2.75, 2 Tc 2.68-2.81, 3 Rh 2.74-2.87, 1 Nb 2.78
Rh 0.1208 0.2500 0.9254 [2 per cell]  1 Tc 2.51, 2 Rh 2.58, 1 Nb 2.62, 2 Pt 2.80
Rh 0.3658 0.7500 0.9949 [2 per cell]  2 Rh 2.58, 4 Pt 2.74-2.87

Calculated values
ΔH_f (0 K), eV/atom: -0.075
Raw total energy, eV/atom: -7.9451
Size of the total moment, μB per formula unit: 0.00